No. 1
# Sr2LaPbSe4 PBE optimized geometry
data_Sr2LaPbSe4
_chemical_formula_sum 'Sr2 La1 Pb1 Se4'
_space_group_name_H-M_alt 'P 1'
_space_group_IT_number 1
_cell_length_a 4.408
_cell_length_b 7.648
_cell_length_c 7.615
_cell_angle_alpha 109.55
_cell_angle_beta 90.00
_cell_angle_gamma 90.00
loop_
_space_group_symop_operation_xyz
'x,y,z'
loop_
_atom_site_label
_atom_site_fract_x
_atom_site_fract_y
_atom_site_fract_z
_atom_site_occupancy
Se1 0.500 0.747 0.755 1
Se2 0.000 0.254 0.755 1
La1 0.500 0.500 0.000 1
Se3 0.000 0.746 0.245 1
Se4 0.500 0.253 0.245 1
Sr1 0.500 0.000 0.500 1
Sr2 0.000 0.500 0.500 1
Pb1 0.000 0.000 0.000 1
# formation energy without anion corrections = -1.617 eV/atom
# DFT total energy = -38.9 eV/f.u.
# size of the total moment = 0.000 μB per atom

No. 2
# Tm6Tl5Pb PBE optimized geometry
data_Tm6Tl5Pb
_chemical_formula_sum 'Tm6 Tl5 Pb1'
_space_group_name_H-M_alt 'P 1'
_space_group_IT_number 1
_cell_length_a 5.347
_cell_length_b 9.244
_cell_length_c 9.244
_cell_angle_alpha 120.41
_cell_angle_beta 106.81
_cell_angle_gamma 106.81
loop_
_space_group_symop_operation_xyz
'x,y,z'
loop_
_atom_site_label
_atom_site_fract_x
_atom_site_fract_y
_atom_site_fract_z
_atom_site_occupancy
Tm1 0.250 0.417 0.083 1
Tm2 0.751 0.251 0.251 1
Tl1 0.000 0.334 0.666 1
Tl2 0.500 0.831 0.169 1
Tl3 0.000 0.666 0.334 1
Tm3 0.750 0.583 0.917 1
Tl4 0.500 0.169 0.831 1
Tm4 0.250 0.083 0.417 1
Tm5 0.249 0.749 0.749 1
Tm6 0.750 0.917 0.583 1
Pb1 0.000 0.000 0.000 1
Tl5 0.500 0.500 0.500 1
# offset from the most stable computed form = 0 meV per atom
# DFT total energy = -45.9 eV/f.u.
# size of the total moment = 0.000 μB per atom
# DFT formation energy = -0.30 eV/atom

No. 3
# SrSi2Se PBE optimized geometry
data_SrSi2Se
_chemical_formula_sum 'Sr1 Si2 Se1'
_space_group_name_H-M_alt 'P 1'
_space_group_IT_number 1
_cell_length_a 4.107
_cell_length_b 4.067
_cell_length_c 6.180
_cell_angle_alpha 74.16
_cell_angle_beta 90.00
_cell_angle_gamma 90.00
loop_
_space_group_symop_operation_xyz
'x,y,z'
loop_
_atom_site_label
_atom_site_fract_x
_atom_site_fract_y
_atom_site_fract_z
_atom_site_occupancy
Se1 0.000 0.000 0.500 1
Si1 0.500 0.500 0.000 1
Sr1 0.500 0.500 0.500 1
Si2 0.000 0.000 0.000 1
# formation energy without anion corrections = -0.134 eV/atom
# DFT total energy = -16.5 eV/f.u.
# size of the total moment = 0.000 μB per atom

No. 4
# TaFeSe2 PBE optimized geometry
data_TaFeSe2
_chemical_formula_sum 'Ta4 Fe4 Se8'
_space_group_name_H-M_alt 'P 1'
_space_group_IT_number 1
_cell_length_a 6.100
_cell_length_b 7.806
_cell_length_c 8.144
_cell_angle_alpha 117.28
_cell_angle_beta 90.00
_cell_angle_gamma 90.00
loop_
_space_group_symop_operation_xyz
'x,y,z'
loop_
_atom_site_label
_atom_site_fract_x
_atom_site_fract_y
_atom_site_fract_z
_atom_site_occupancy
Fe1 0.645 0.441 0.392 1
Se1 0.741 0.603 0.209 1
Se2 0.749 0.650 0.711 1
Ta1 0.972 0.324 0.525 1
Fe2 0.855 0.941 0.392 1
Se3 0.249 0.850 0.289 1
Se4 0.241 0.897 0.791 1
Se5 0.259 0.397 0.791 1
Ta2 0.528 0.824 0.525 1
Fe3 0.355 0.559 0.608 1
Ta3 0.028 0.676 0.475 1
Fe4 0.145 0.059 0.608 1
Se6 0.751 0.150 0.711 1
Se7 0.759 0.103 0.209 1
Se8 0.251 0.350 0.289 1
Ta4 0.472 0.176 0.475 1
# offset from the most stable computed form = 0 meV per atom
# formation energy without anion corrections = -0.526 eV/atom
# DFT total energy = -29.4 eV/f.u.
# size of the total moment = 0.401 μB per atom

No. 5
# Na3InHg8 PBE optimized geometry
data_Na3InHg8
_chemical_formula_sum 'Na3 In1 Hg8'
_space_group_name_H-M_alt 'P 1'
_space_group_IT_number 1
_cell_length_a 9.916
_cell_length_b 7.965
_cell_length_c 5.523
_cell_angle_alpha 70.10
_cell_angle_beta 89.42
_cell_angle_gamma 128.24
loop_
_space_group_symop_operation_xyz
'x,y,z'
loop_
_atom_site_label
_atom_site_fract_x
_atom_site_fract_y
_atom_site_fract_z
_atom_site_occupancy
Hg1 0.417 0.509 0.764 1
Hg2 0.579 0.509 0.266 1
Hg3 0.070 0.491 0.775 1
Hg4 0.347 0.000 0.155 1
Na1 0.748 0.515 0.759 1
In1 0.015 0.000 0.121 1
Hg5 0.835 0.000 0.647 1
Hg6 0.908 0.491 0.273 1
Na2 0.674 0.000 0.166 1
Hg7 0.173 0.000 0.633 1
Na3 0.234 0.485 0.274 1
Hg8 0.501 0.000 0.667 1
# DFT total energy = -11.2 eV/f.u.
# size of the total moment = 0.000 μB per atom
# DFT formation energy = -0.17 eV/atom

No. 6
# Dy4Tm11Sc9 PBE optimized geometry
data_Dy4Tm11Sc9
_chemical_formula_sum 'Dy4 Tm11 Sc9'
_space_group_name_H-M_alt 'P 1'
_space_group_IT_number 1
_cell_length_a 3.394
_cell_length_b 14.127
_cell_length_c 14.127
_cell_angle_alpha 91.83
_cell_angle_beta 90.00
_cell_angle_gamma 90.00
loop_
_space_group_symop_operation_xyz
'x,y,z'
loop_
_atom_site_label
_atom_site_fract_x
_atom_site_fract_y
_atom_site_fract_z
_atom_site_occupancy
Dy1 0.500 0.447 0.279 1
Sc1 0.500 0.870 0.378 1
Tm1 0.000 0.588 0.925 1
Tm2 0.000 0.766 0.766 1
Sc2 0.500 0.500 0.500 1
Tm3 0.000 0.412 0.075 1
Sc3 0.500 0.130 0.622 1
Dy2 0.500 0.721 0.553 1
Sc4 0.500 0.205 0.031 1
Tm4 0.000 0.075 0.412 1
Sc5 0.500 0.795 0.969 1
Dy3 0.500 0.279 0.447 1
Tm5 0.000 0.234 0.234 1
Dy4 0.500 0.553 0.721 1
Sc6 0.500 0.031 0.205 1
Tm6 0.000 0.657 0.343 1
Tm7 0.000 0.343 0.657 1
Tm8 0.000 0.925 0.588 1
Tm9 0.000 0.000 0.000 1
Sc7 0.500 0.622 0.130 1
Sc8 0.500 0.378 0.870 1
Tm10 0.000 0.171 0.829 1
Sc9 0.500 0.969 0.795 1
Tm11 0.000 0.829 0.171 1
# DFT total energy = -122.6 eV/f.u.
# size of the total moment = 0.000 μB per atom
# DFT formation energy = 0.08 eV/atom